A plane-wave DFT calculation with GGA+U was carried out for a relaxed structure of TaMn2CrO8.

Unit cell a=6.4627 b=6.4627 c=6.5081 alpha=90.00 beta=90.00 gamma=90.00
Space group I-4m2 (No. 119)
Asymmetric unit:
Ta1 0.0000 0.0000 0.0000 [2 per cell]
Mn1 0.0000 0.0000 0.5000 [2 per cell]
Mn2 0.0000 0.5000 0.7500 [2 per cell]
Cr1 0.0000 0.5000 0.2500 [2 per cell]
O1 0.0000 0.1833 0.2836 [8 per cell]
O2 0.0000 0.3099 0.9479 [8 per cell]

Calculated values
total magnetization = 0.7500 μB/atom
final energy = -186.17 eV for the cell shown